# 1
{
  "formula": "HfIn2AgCl",
  "functional": "GGA-PBEsol",
  "state": "optimized geometry",
  "cell": [[5.2239, 0.0000, 0.0000], [0.0000, 5.2239, 0.0000], [0.0000, 0.0000, 4.6172]],
  "species": ["Hf", "In", "In", "Ag", "Cl"],
  "fractional_positions": [[0.0000, 0.0000, 0.0000], [0.0000, 0.5000, 0.5000], [0.5000, 0.0000, 0.5000], [0.5000, 0.5000, 0.0000], [0.0000, 0.0000, 0.5000]],
  "m_tot_mub_per_fu": 0.000,
  "space_group": "No. 123",
  "raw_formation_energy_ev_per_fu": 2.812,
  "volume_a3_per_atom": 25.200
}

# 2
{
  "formula": "Y2SbSe2",
  "functional": "GGA-PBEsol",
  "state": "optimized geometry",
  "cell": [[4.1881, 0.0000, 0.0000], [0.0000, 4.1881, 0.0000], [0.0000, 0.0000, 14.4418]],
  "species": ["Y", "Y", "Y", "Y", "Sb", "Sb", "Se", "Se", "Se", "Se"],
  "fractional_positions": [[0.0000, 0.0000, 0.1183], [0.0000, 0.0000, 0.8817], [0.5000, 0.5000, 0.3817], [0.5000, 0.5000, 0.6183], [0.0000, 0.0000, 0.5000], [0.5000, 0.5000, 0.0000], [0.0000, 0.5000, 0.2500], [0.0000, 0.5000, 0.7500], [0.5000, 0.0000, 0.2500], [0.5000, 0.0000, 0.7500]],
  "m_tot_mub_per_fu": 0.000,
  "space_group": "No. 139",
  "raw_formation_energy_ev_per_fu": -5.767,
  "volume_a3_per_atom": 25.331
}

# 3
{
  "formula": "SrIn2Se",
  "functional": "GGA-PBEsol",
  "state": "optimized geometry",
  "cell": [[4.0703, 0.0000, 0.0000], [-2.0352, 3.5250, 0.0000], [0.0000, 0.0000, 24.7633]],
  "species": ["Sr", "Sr", "Sr", "In", "In", "In", "In", "In", "In", "Se", "Se", "Se"],
  "fractional_positions": [[0.0000, 0.0000, 0.0000], [0.3333, 0.6667, 0.6667], [0.6667, 0.3333, 0.3333], [0.0000, 0.0000, 0.5171], [0.0000, 0.0000, 0.7725], [0.3333, 0.6667, 0.1838], [0.3333, 0.6667, 0.4391], [0.6667, 0.3333, 0.1058], [0.6667, 0.3333, 0.8505], [0.0000, 0.0000, 0.2591], [0.3333, 0.6667, 0.9258], [0.6667, 0.3333, 0.5924]],
  "m_tot_mub_per_fu": 0.000,
  "space_group": "No. 160",
  "raw_formation_energy_ev_per_fu": -2.355,
  "volume_a3_per_atom": 29.608
}

# 4
{
  "formula": "LiPb2",
  "functional": "GGA-PBEsol",
  "state": "optimized geometry",
  "cell": [[5.0999, 0.0000, 0.0000], [-2.5500, 4.4167, 0.0000], [0.0000, 0.0000, 3.4905]],
  "species": ["Li", "Pb", "Pb"],
  "fractional_positions": [[0.0000, 0.0000, 0.0000], [0.3333, 0.6667, 0.6907], [0.6667, 0.3333, 0.3093]],
  "m_tot_mub_per_fu": 0.000,
  "relative_energy_mev_per_atom": 30.2,
  "formation_enthalpy_0k_mev_per_atom": -133.9,
  "space_group": "No. 164",
  "volume_a3_per_atom": 26.207
}

# 5
{
  "formula": "Li2ZnGe",
  "functional": "GGA-PBEsol",
  "state": "optimized geometry",
  "cell": [[6.0703, 0.0000, 0.0000], [0.0000, 6.0703, 0.0000], [0.0000, 0.0000, 6.0703]],
  "species": ["Li", "Li", "Li", "Li", "Li", "Li", "Li", "Li", "Zn", "Zn", "Zn", "Zn", "Ge", "Ge", "Ge", "Ge"],
  "fractional_positions": [[0.0000, 0.0000, 0.0000], [0.0000, 0.5000, 0.5000], [0.2500, 0.2500, 0.2500], [0.2500, 0.7500, 0.7500], [0.5000, 0.0000, 0.5000], [0.5000, 0.5000, 0.0000], [0.7500, 0.2500, 0.7500], [0.7500, 0.7500, 0.2500], [0.2500, 0.2500, 0.7500], [0.2500, 0.7500, 0.2500], [0.7500, 0.2500, 0.2500], [0.7500, 0.7500, 0.7500], [0.0000, 0.0000, 0.5000], [0.0000, 0.5000, 0.0000], [0.5000, 0.0000, 0.0000], [0.5000, 0.5000, 0.5000]],
  "m_tot_mub_per_fu": 0.000,
  "formation_enthalpy_0k_mev_per_atom": -344.9,
  "space_group": "No. 216",
  "volume_a3_per_atom": 13.980
}

# 6
{
  "formula": "CrRh3",
  "functional": "GGA-PBEsol",
  "state": "optimized geometry",
  "cell": [[3.7325, 0.0000, 0.0000], [0.0000, 3.7325, 0.0000], [0.0000, 0.0000, 3.7325]],
  "species": ["Cr", "Rh", "Rh", "Rh"],
  "fractional_positions": [[0.0000, 0.0000, 0.0000], [0.0000, 0.5000, 0.5000], [0.5000, 0.0000, 0.5000], [0.5000, 0.5000, 0.0000]],
  "m_tot_mub_per_fu": 1.145,
  "formation_enthalpy_0k_mev_per_atom": -115.9,
  "space_group": "No. 221",
  "volume_a3_per_atom": 13.000
}